Record 1
A relaxed structure of Pa4NiRh12. Source: Alexandria, functional PBE.

a = 8.2936 Å, b = 8.2936 Å, c = 8.2936 Å
α = 90.00°, β = 90.00°, γ = 90.00°
Space group Im-3m (No. 229)
Symmetry-distinct sites (fractional):
1 Pa 0.2500 0.2500 0.2500
2 Ni 0.0000 0.0000 0.0000
3 Rh 0.0000 0.0000 0.2846
4 Rh 0.0000 0.2500 0.5000

Values from the calculation:
The value obtained for the calculated total energy is -287.84 eV/cell. For the mass density, the calculation gives 12.91 Mg/m³. The calculated formation energy comes out at -0.702 eV per atom.

---

Record 2
A relaxed structure of PmAgSe2. Source: Alexandria, functional PBE.

a = 4.0337 Å, b = 4.7600 Å, c = 11.2906 Å
α = 90.00°, β = 90.00°, γ = 90.00°
Space group Pmmn (No. 59, origin choice 2)
Symmetry-distinct sites (fractional):
1 Pm 0.2500 0.2500 0.1504
2 Ag 0.2500 0.7500 0.3559
3 Se 0.2500 0.2500 0.4009
4 Se 0.2500 0.2500 0.8802

Values from the calculation:
The value obtained for the calculated total energy is -36.52 eV/cell. The value obtained for the formation energy without anion corrections is -3.689 eV/f.u. For the mass density, the calculation gives 6.29 Mg/m³.

---

Record 3
A relaxed structure of RbBaSr. Source: Alexandria, functional PBE.

a = 5.0644 Å, b = 7.0635 Å, c = 22.1962 Å
α = 90.00°, β = 90.06°, γ = 90.00°
Space group C2/m (No. 12)
Symmetry-distinct sites (fractional):
1 Rb 0.2469 0.0000 0.0964
2 Ba 0.2499 0.0000 0.4205
3 Sr 0.2492 0.5000 0.2684

Values from the calculation:
The value obtained for the calculated total energy is -17.60 eV/cell. The energy above the lowest structure with this stoichiometry is 0.00 eV per formula unit. For the mass density, the calculation gives 2.60 Mg/m³. The calculated formation energy comes out at 0.057 eV per atom.

---

Record 4
A relaxed structure of KErS2O8. Source: Alexandria, functional PBE.

a = 5.3108 Å, b = 5.3108 Å, c = 8.1314 Å
α = 90.00°, β = 90.00°, γ = 120.00°
Space group P-3 (No. 147)
Symmetry-distinct sites (fractional):
1 K 0.0000 0.0000 0.0000
2 Er 0.0000 0.0000 0.5000
3 S 0.3333 0.6667 0.7343
4 O 0.1219 0.3713 0.6688
5 O 0.3333 0.6667 0.9133

Values from the calculation:
The value obtained for the calculated total energy is -78.76 eV/cell. The energy above the lowest structure with this stoichiometry is 0.00 eV per formula unit. The value obtained for the formation energy without anion corrections is -25.176 eV/f.u. For the mass density, the calculation gives 3.33 Mg/m³.

---

Record 5
A relaxed structure of BeTePbN2. Source: Alexandria, functional PBE.

a = 4.3522 Å, b = 4.3522 Å, c = 6.7654 Å
α = 90.00°, β = 90.00°, γ = 90.00°
Space group P4/mmm (No. 123)
Symmetry-distinct sites (fractional):
1 Be 0.0000 0.0000 0.0000
2 Te 0.5000 0.5000 0.0000
3 Pb 0.5000 0.5000 0.5000
4 N 0.0000 0.5000 0.5000

Values from the calculation:
The value obtained for the calculated total energy is -17.70 eV/cell. The energy above the lowest structure with this stoichiometry is 2.75 eV per formula unit. The value obtained for the formation energy without anion corrections is 9.526 eV/f.u. For the mass density, the calculation gives 4.82 Mg/m³.

---

Record 6
A relaxed structure of MgBe2S. Source: Alexandria, functional PBE.

a = 6.0405 Å, b = 6.0405 Å, c = 6.0405 Å
α = 90.00°, β = 90.00°, γ = 90.00°
Space group Fm-3m (No. 225)
Symmetry-distinct sites (fractional):
1 Mg 0.0000 0.0000 0.0000
2 Be 0.2500 0.2500 0.2500
3 S 0.0000 0.0000 0.5000

Values from the calculation:
The value obtained for the calculated total energy is -40.27 eV/cell. The energy above the lowest structure with this stoichiometry is 2.58 eV per formula unit. The value obtained for the formation energy without anion corrections is 3.108 eV/f.u. For the mass density, the calculation gives 2.24 Mg/m³.

---

Record 7
A relaxed structure of La2GaNi3Ge4. Source: Alexandria, functional PBE.

a = 4.2128 Å, b = 4.2128 Å, c = 10.1361 Å
α = 90.00°, β = 90.00°, γ = 90.00°
Space group P-4m2 (No. 115)
Symmetry-distinct sites (fractional):
1 La 0.0000 0.5000 0.2419
2 Ga 0.0000 0.0000 0.5000
3 Ni 0.0000 0.5000 0.8808
4 Ni 0.5000 0.5000 0.5000
5 Ge 0.0000 0.0000 0.0000
6 Ge 0.0000 0.5000 0.6442
7 Ge 0.5000 0.5000 0.0000

Values from the calculation:
The value obtained for the calculated total energy is -55.50 eV/cell. For the mass density, the calculation gives 7.52 Mg/m³. The calculated formation energy comes out at -0.680 eV per atom.

---

Record 8
A relaxed structure of BeCd2Fe. Source: Alexandria, functional PBE.

a = 2.8399 Å, b = 4.1167 Å, c = 5.4917 Å
α = 90.00°, β = 102.02°, γ = 90.00°
Space group P2/m (No. 10)
Symmetry-distinct sites (fractional):
1 Be 0.0000 0.0000 0.0000
2 Cd 0.3989 0.5000 0.2422
3 Fe 0.0000 0.0000 0.5000

Values from the calculation:
The value obtained for the calculated total energy is -12.22 eV/cell. For the mass density, the calculation gives 7.66 Mg/m³. The calculated formation energy comes out at 0.449 eV per atom.